Record 1
Density functional theory data (PBE) for crystalline BaLi2Hg10 at its relaxed geometry.

Cell lengths 6.134, 13.623, 15.864 Å; angles 90.00, 90.00, 90.00 degrees
Space group Fmmm (No. 69)
Inequivalent atoms, fractional coordinates:
Ba  0.000  0.000  0.000
Li  0.250  0.000  0.250
Hg  0.000  0.110  0.378
Hg  0.000  0.160  0.179
Hg  0.250  0.250  0.000

- E_form: -0.236 eV/atom

Record 2
Density functional theory data (PBE) for crystalline NiSnB2 at its relaxed geometry.

Cell lengths 3.721, 3.721, 14.309 Å; angles 90.00, 90.00, 90.00 degrees
Space group I4_1/amd (No. 141, origin choice 2)
Inequivalent atoms, fractional coordinates:
Ni  0.000  0.250  0.375
Sn  0.000  0.250  0.875
B  0.000  0.000  0.500

- E_form: 0.342 eV/atom

Record 3
Density functional theory data (PBE) for crystalline BaSmMg at its relaxed geometry.

Cell lengths 4.045, 4.045, 13.995 Å; angles 90.00, 90.00, 90.00 degrees
Space group I4mm (No. 107)
Inequivalent atoms, fractional coordinates:
Ba  0.000  0.000  0.000
Sm  0.000  0.000  0.289
Mg  0.000  0.000  0.671

- ΔE to the lowest computed polymorph: 34 meV/atom
- E_form: 0.060 eV/atom

Record 4
Density functional theory data (PBE) for crystalline Cs2TlGeCl6 at its relaxed geometry.

Cell lengths 7.795, 7.795, 10.999 Å; angles 90.00, 90.00, 90.00 degrees
Space group I4/mmm (No. 139)
Inequivalent atoms, fractional coordinates:
Cs  0.000  0.500  0.250
Tl  0.000  0.000  0.000
Ge  0.000  0.000  0.500
Cl  0.000  0.000  0.272
Cl  0.228  0.228  0.500

- Formation energy without anion corrections: -1.335 eV/atom
- ΔE to the lowest computed polymorph: 0 meV/atom

Record 5
Density functional theory data (PBE) for crystalline HgMoW2 at its relaxed geometry.

Cell lengths 4.091, 4.091, 8.051 Å; angles 90.00, 90.00, 90.00 degrees
Space group I-4m2 (No. 119)
Inequivalent atoms, fractional coordinates:
Hg  0.000  0.000  0.000
Mo  0.000  0.500  0.750
W  0.000  0.000  0.500
W  0.000  0.500  0.250

- E_form: 0.625 eV/atom

Record 6
Density functional theory data (PBE) for crystalline Ba3Re2O9 at its relaxed geometry.

Cell lengths 10.3128, 10.3128, 13.8558 Å; angles 90.00, 90.00, 120.00 degrees
Space group R-3c (No. 167, hexagonal axes)
Inequivalent atoms, fractional coordinates:
Ba  0.0000  0.3378  0.2500
Re  0.0000  0.0000  0.1573
O  0.0000  0.1616  0.7500
O  0.0029  0.1585  0.0937

- Formation energy without anion corrections: -2.233 eV/atom
- ΔE to the lowest computed polymorph: 4 meV/atom

Record 7
Density functional theory data (PBE) for crystalline Ac2La2Ho3 at its relaxed geometry.

Cell lengths 3.626, 9.082, 9.196 Å; angles 61.05, 78.64, 89.94 degrees
Space group P-1 (No. 2)
Inequivalent atoms, fractional coordinates:
Ac  0.073  0.232  0.361
La  0.151  0.930  0.199
Ho  0.228  0.651  0.042
Ho  0.500  0.500  0.500

- E_form: 0.157 eV/atom

Record 8
Density functional theory data (PBE) for crystalline Y4SeS3 at its relaxed geometry.

Cell lengths 3.9229, 3.9229, 26.4860 Å; angles 90.00, 90.00, 120.00 degrees
Space group P6_3/mmc (No. 194)
Inequivalent atoms, fractional coordinates:
Y  0.0000  0.0000  0.1784
Y  0.3333  0.6667  0.0633
Se  0.3333  0.6667  0.2500
S  0.0000  0.0000  0.0000
S  0.3333  0.6667  0.6209

- Formation energy without anion corrections: -1.950 eV/atom
- ΔE to the lowest computed polymorph: 0 meV/atom

| no. | electronic total energy (eV/atom) |
| --- | --- |
| 1 | -0.9107 |
| 2 | -5.4432 |
| 3 | -2.6853 |
| 4 | -3.3120 |
| 5 | -8.6353 |
| 6 | -7.6110 |
| 7 | -4.3870 |
| 8 | -7.1654 |